Entry 1:
CaAs2P2: relaxed, PBE.

density of states at the Fermi level: 0.49 states/eV/atom
formation energy from the elements: -0.226 eV per atom
total magnetic moment: 0.00 μB per formula unit
energy relative to the lowest polymorph listed for this composition: 0 meV per atom

Geometry as POSCAR:
```
CaAs2P2
1.0
7.924 0.000 0.000
0.000 7.924 0.000
0.000 0.000 3.510
Ca As P
2 4 4
Direct
0.000 0.000 0.000
0.500 0.500 0.000
0.188 0.312 0.500
0.312 0.812 0.500
0.688 0.188 0.500
0.812 0.688 0.500
0.170 0.670 0.000
0.330 0.170 0.000
0.670 0.830 0.000
0.830 0.330 0.000
```

Entry 2:
Ca2AsP: relaxed, PBE.

formation energy from the elements: -1.062 eV per atom
total magnetic moment: 0.00 μB per formula unit
energy relative to the lowest polymorph listed for this composition: 12 meV per atom

Geometry as POSCAR:
```
Ca2AsP
1.0
4.540 0.000 0.000
-2.270 3.932 0.000
0.000 0.000 5.692
Ca As P
2 1 1
Direct
0.000 0.000 0.000
0.333 0.667 0.515
0.667 0.333 0.232
0.667 0.333 0.786
```

Entry 3:
CaAs2P: relaxed, PBE.

density of states at the Fermi level: 0.22 states/eV/atom
formation energy from the elements: -0.374 eV per atom
total magnetic moment: 0.00 μB per formula unit

Geometry as POSCAR:
```
CaAs2P
1.0
5.253 -1.817 0.000
5.253 1.817 0.000
-1.903 0.000 4.619
Ca As P
1 2 1
Direct
0.000 0.000 0.000
0.474 0.474 0.479
0.756 0.756 0.401
0.172 0.172 0.640
```

Entry 4:
Ca8As3P2: relaxed, PBE.

density of states at the Fermi level: 0.21 states/eV/atom
formation energy from the elements: -1.007 eV per atom
total magnetic moment: 0.00 μB per formula unit

Geometry as POSCAR:
```
Ca8As3P2
1.0
5.060 -7.088 0.000
5.060 7.088 0.000
0.000 0.000 4.951
Ca As P
8 3 2
Direct
0.116 0.362 0.500
0.118 0.882 0.000
0.362 0.116 0.500
0.370 0.630 0.000
0.630 0.370 0.000
0.638 0.884 0.500
0.882 0.118 0.000
0.884 0.638 0.500
0.000 0.000 0.500
0.277 0.277 0.000
0.723 0.723 0.000
0.263 0.737 0.500
0.737 0.263 0.500
```

Entry 5:
CaAsP4: relaxed, PBE.

density of states at the Fermi level: 0.36 states/eV/atom
formation energy from the elements: 0.079 eV per atom
total magnetic moment: 0.00 μB per formula unit

Geometry as POSCAR:
```
CaAsP4
1.0
0.000 3.906 3.906
3.906 0.000 3.906
3.906 3.906 0.000
Ca As P
1 1 4
Direct
0.000 0.000 0.000
0.250 0.250 0.250
0.191 0.603 0.603
0.603 0.191 0.603
0.603 0.603 0.191
0.603 0.603 0.603
```

Entry 6:
Ca2AsP: relaxed, PBE.

density of states at the Fermi level: 0.52 states/eV/atom
formation energy from the elements: -0.753 eV per atom
total magnetic moment: 0.00 μB per formula unit
energy relative to the lowest polymorph listed for this composition: 321 meV per atom

Geometry as POSCAR:
```
Ca2AsP
1.0
-1.985 2.147 5.428
1.985 -2.147 5.428
1.985 2.147 -5.428
Ca As P
2 1 1
Direct
0.000 0.000 0.000
0.745 0.245 0.500
0.479 0.479 0.000
0.259 0.759 0.500
```

Entry 7:
CaAs3P: relaxed, PBE.

density of states at the Fermi level: 0.92 states/eV/atom
formation energy from the elements: 0.062 eV per atom
total magnetic moment: 0.00 μB per formula unit
energy relative to the lowest polymorph listed for this composition: 0 meV per atom

Geometry as POSCAR:
```
CaAs3P
1.0
4.861 0.000 0.000
0.000 4.861 0.000
0.000 0.000 4.861
Ca As P
1 3 1
Direct
0.000 0.000 0.000
0.000 0.500 0.500
0.500 0.000 0.500
0.500 0.500 0.000
0.500 0.500 0.500
```

Entry 8:
CaAs2P: relaxed, PBE.

density of states at the Fermi level: 0.29 states/eV/atom
formation energy from the elements: -0.385 eV per atom
total magnetic moment: 0.00 μB per formula unit

Geometry as POSCAR:
```
CaAs2P
1.0
5.171 -1.831 0.000
5.171 1.831 0.000
-1.666 0.000 4.524
Ca As P
1 2 1
Direct
0.000 0.000 0.000
0.203 0.203 0.636
0.797 0.797 0.364
0.500 0.500 0.500
```

Entry 9:
CaAs2P: relaxed, PBE.

density of states at the Fermi level: 0.45 states/eV/atom
formation energy from the elements: -0.240 eV per atom
total magnetic moment: 0.00 μB per formula unit

Geometry as POSCAR:
```
CaAs2P
1.0
4.240 0.000 0.000
0.000 4.240 0.000
0.000 0.000 4.421
Ca As P
1 2 1
Direct
0.000 0.000 0.000
0.000 0.500 0.500
0.500 0.000 0.500
0.500 0.500 0.000
```

Entry 10:
CaPaAsP: relaxed, PBE.

density of states at the Fermi level: 0.99 states/eV/atom
formation energy from the elements: -1.194 eV per atom
total magnetic moment: 0.36 μB per formula unit

Geometry as POSCAR:
```
CaPaAsP
1.0
2.055 1.186 6.721
-2.055 1.186 6.721
0.000 -2.372 6.721
Ca Pa As P
1 1 1 1
Direct
0.000 0.000 0.000
0.494 0.494 0.494
0.242 0.242 0.242
0.754 0.754 0.754
```

Entry 11:
Ca3AsP2Pd9: relaxed, PBE.

density of states at the Fermi level: 0.38 states/eV/atom
formation energy from the elements: -0.668 eV per atom
total magnetic moment: 0.00 μB per formula unit

Geometry as POSCAR:
```
Ca3AsP2Pd9
1.0
6.376 0.000 0.000
-3.188 5.522 0.000
0.000 0.000 8.482
Ca As P Pd
3 1 2 9
Direct
0.000 0.000 0.000
0.333 0.667 0.662
0.667 0.333 0.338
0.000 0.000 0.500
0.333 0.667 0.170
0.667 0.333 0.830
0.000 0.500 0.000
0.151 0.302 0.290
0.151 0.849 0.290
0.302 0.151 0.710
0.500 0.000 0.000
0.500 0.500 0.000
0.698 0.849 0.290
0.849 0.151 0.710
0.849 0.698 0.710
```

Entry 12:
Ca3AsP2Pt9: relaxed, PBE.

density of states at the Fermi level: 0.43 states/eV/atom
formation energy from the elements: -0.627 eV per atom
total magnetic moment: 0.00 μB per formula unit

Geometry as POSCAR:
```
Ca3AsP2Pt9
1.0
6.423 0.000 0.000
-3.211 5.562 0.000
0.000 0.000 8.445
Ca As P Pt
3 1 2 9
Direct
0.000 0.000 0.000
0.333 0.667 0.676
0.667 0.333 0.324
0.000 0.000 0.500
0.333 0.667 0.181
0.667 0.333 0.819
0.000 0.500 0.000
0.147 0.294 0.281
0.147 0.853 0.281
0.294 0.147 0.719
0.500 0.000 0.000
0.500 0.500 0.000
0.706 0.853 0.281
0.853 0.147 0.719
0.853 0.706 0.719
```

Entry 13:
Ca3As2PRh9: relaxed, PBE.

density of states at the Fermi level: 0.73 states/eV/atom
formation energy from the elements: -0.370 eV per atom
total magnetic moment: 0.00 μB per formula unit

Geometry as POSCAR:
```
Ca3As2PRh9
1.0
6.549 0.000 0.000
-3.275 5.672 0.000
0.000 0.000 7.653
Ca As P Rh
3 2 1 9
Direct
0.000 0.000 0.000
0.333 0.667 0.664
0.667 0.333 0.336
0.333 0.667 0.186
0.667 0.333 0.814
0.000 0.000 0.500
0.000 0.500 0.000
0.148 0.297 0.314
0.148 0.852 0.314
0.297 0.148 0.686
0.500 0.000 0.000
0.500 0.500 0.000
0.703 0.852 0.314
0.852 0.148 0.686
0.852 0.703 0.686
```

Entry 14:
Ca2AsPRh6: relaxed, PBE.

density of states at the Fermi level: 0.79 states/eV/atom
formation energy from the elements: -0.504 eV per atom
total magnetic moment: 0.00 μB per formula unit

Geometry as POSCAR:
```
Ca2AsPRh6
1.0
6.892 0.000 0.000
0.000 8.756 0.000
0.000 0.000 5.926
Ca As P Rh
4 2 2 12
Direct
0.250 0.003 0.238
0.250 0.497 0.238
0.750 0.503 0.762
0.750 0.997 0.762
0.250 0.750 0.881
0.750 0.250 0.119
0.250 0.250 0.617
0.750 0.750 0.383
0.041 0.750 0.536
0.051 0.250 0.946
0.250 0.004 0.725
0.250 0.496 0.725
0.449 0.250 0.946
0.459 0.750 0.536
0.541 0.250 0.464
0.551 0.750 0.054
0.750 0.504 0.275
0.750 0.996 0.275
0.949 0.750 0.054
0.959 0.250 0.464
```

Entry 15:
CaAs2PS: relaxed, PBE.

density of states at the Fermi level: 0.62 states/eV/atom
total magnetic moment: 0.00 μB per formula unit
formation energy without anion corrections: 0.207 eV per atom

Geometry as POSCAR:
```
CaAs2PS
1.0
4.807 0.000 0.000
0.000 4.807 0.000
0.000 0.000 5.197
Ca As P S
1 2 1 1
Direct
0.000 0.000 0.000
0.000 0.500 0.500
0.500 0.000 0.500
0.500 0.500 0.000
0.000 0.000 0.500
```

Entry 16:
Sr2CaAsP: relaxed, PBE.

formation energy from the elements: -0.828 eV per atom
total magnetic moment: 0.00 μB per formula unit

Geometry as POSCAR:
```
Sr2CaAsP
1.0
5.700 0.000 0.000
0.000 5.700 0.000
0.000 0.000 5.505
Sr Ca As P
2 1 1 1
Direct
0.000 0.500 0.000
0.500 0.000 0.000
0.000 0.000 0.552
0.500 0.500 0.671
0.000 0.000 0.064
```

Entry 17:
SrCa2AsP: relaxed, PBE.

density of states at the Fermi level: 0.00 states/eV/atom
formation energy from the elements: -0.972 eV per atom
total magnetic moment: 0.00 μB per formula unit

Geometry as POSCAR:
```
SrCa2AsP
1.0
5.041 0.000 0.000
0.000 5.041 0.000
0.000 0.000 6.827
Sr Ca As P
1 2 1 1
Direct
0.000 0.000 0.000
0.000 0.500 0.424
0.500 0.000 0.424
0.500 0.500 0.169
0.000 0.000 0.579
```

Entry 18:
CaUAsP: relaxed, PBE.

density of states at the Fermi level: 1.47 states/eV/atom
formation energy from the elements: -1.014 eV per atom
total magnetic moment: 1.99 μB per formula unit

Geometry as POSCAR:
```
CaUAsP
1.0
2.039 1.177 6.781
-2.039 1.177 6.781
0.000 -2.355 6.781
Ca U As P
1 1 1 1
Direct
0.000 0.000 0.000
0.495 0.495 0.495
0.242 0.242 0.242
0.755 0.755 0.755
```

Entry 19:
CaAsPW2: relaxed, PBE.

density of states at the Fermi level: 1.20 states/eV/atom
formation energy from the elements: 2.836 eV per atom
total magnetic moment: 1.95 μB per formula unit

Geometry as POSCAR:
```
CaAsPW2
1.0
4.851 0.000 0.000
0.000 4.851 0.000
0.000 0.000 4.729
Ca As P W
1 1 1 2
Direct
0.000 0.000 0.000
0.500 0.500 0.500
0.000 0.000 0.500
0.000 0.500 0.000
0.500 0.000 0.000
```

Entry 20:
Ca2ZnAsP: relaxed, PBE.

formation energy from the elements: -0.904 eV per atom
total magnetic moment: 0.00 μB per formula unit

Geometry as POSCAR:
```
Ca2ZnAsP
1.0
7.264 0.000 0.000
0.000 4.077 0.000
-2.126 0.000 8.410
Ca Zn As P
4 2 2 2
Direct
0.172 0.250 0.393
0.205 0.250 0.946
0.795 0.750 0.054
0.828 0.750 0.607
0.491 0.250 0.722
0.509 0.750 0.278
0.282 0.750 0.679
0.718 0.250 0.321
0.189 0.750 0.171
0.811 0.250 0.829
```